# CaP

A relaxed structure of CaP (PBE-GGA, the Alexandria database).

E_tot, Ry per atom: -0.321
Formation energy, eV/atom: -0.66
Symmetry: P4/mbm
Crystal system: tetragonal
Total moment, μB/f.u.: 0.3
Theoretical density, g/cm3: 1.764

a b c (Å): 9.638 9.638 5.759
angles (deg): 90.00 90.00 90.00
Fractional coordinates of all 16 atoms:
Ca 0.120 0.380 0.000
Ca 0.196 0.696 0.500
Ca 0.304 0.196 0.500
Ca 0.380 0.880 0.000
Ca 0.620 0.120 0.000
Ca 0.696 0.804 0.500
Ca 0.804 0.304 0.500
Ca 0.880 0.620 0.000
P 0.079 0.421 0.500
P 0.177 0.677 0.000
P 0.323 0.177 0.000
P 0.421 0.921 0.500
P 0.579 0.079 0.500
P 0.677 0.823 0.000
P 0.823 0.323 0.000
P 0.921 0.579 0.500